No. 1
Material: KZnCu2
Method: DFT, PBE-GGA
State: relaxed

Cell: 2.8541 5.2603 4.9644 Å, 90.00 90.00 90.00°
Closest atoms and distances in Å follow each position.
Sites, in units of the cell vectors:
1 Cu 0.5000 0.5000 0.0000  6 Cu 2.85-2.99, 4 Zn 2.86
2 Cu 0.0000 0.0000 0.0000  6 Cu 2.85-2.99, 4 K 2.86
3 Zn 0.0000 0.5000 0.5000  2 Zn 2.85, 4 Cu 2.86, 4 K 2.99
4 K 0.5000 0.0000 0.5000  2 K 2.85, 4 Cu 2.86, 4 Zn 2.99

* uncorrected energy: -0.075 hartree per atom
* energy of formation from the pure elements: 0.61 eV/atom

---

No. 2
Material: PaAl4Sb
Method: DFT, PBE-GGA
State: relaxed

Cell: 5.5176 5.5176 5.5176 Å, 60.00 60.00 60.00°
Closest atoms and distances in Å follow each position.
Sites, in units of the cell vectors:
1 Pa 0.2500 0.2500 0.2500  12 Al 3.23, 4 Sb 3.38
2 Al 0.1271 0.6243 0.6243  6 Al 2.74-2.77
3 Al 0.6243 0.6243 0.6243  6 Al 2.74-2.77
4 Al 0.6243 0.1271 0.6243  6 Al 2.74-2.77
5 Al 0.6243 0.6243 0.1271  6 Al 2.74-2.77
6 Sb 0.0000 0.0000 0.0000  12 Al 3.24, 4 Pa 3.38

* uncorrected energy: -0.178 hartree per atom
* uncorrected formation energy: -0.09 eV/atom

---

No. 3
Material: TlTeI5
Method: DFT, PBE-GGA
State: relaxed

Cell: 8.2940 8.2940 11.5428 Å, 71.11 71.11 72.73°
Closest atoms and distances in Å follow each position.
Sites, in units of the cell vectors:
1 I 0.7959 0.3581 0.5072  1 Te 2.96
2 I 0.6786 0.8681 0.6328  1 Te 2.94
3 I 0.1040 0.8960 0.7500  2 Te 3.06
4 I 0.8960 0.1040 0.2500  2 Te 3.06
5 I 0.8681 0.6786 0.1328  1 Te 2.94
6 I 0.6419 0.2041 0.9928  1 Te 2.96
7 I 0.3214 0.1319 0.3672  1 Te 2.94
8 I 0.3581 0.7959 0.0072  1 Te 2.96
9 I 0.1319 0.3214 0.8672  1 Te 2.94
10 I 0.2041 0.6419 0.4928  1 Te 2.96
11 Tl 0.4945 0.5055 0.7500  4 I 3.39-3.46
12 Tl 0.5055 0.4945 0.2500  4 I 3.39-3.46
13 Te 0.0000 0.0000 0.0000  6 I 2.94-3.06
14 Te 0.0000 0.0000 0.5000  6 I 2.94-3.06

* uncorrected energy: -0.077 hartree per atom
* uncorrected formation energy: -0.20 eV/atom

---

Number 1: calculated volume 18.633 A^3/atom, calculated density 5.16 g cm⁻³. Number 2: calculated volume 19.796 A^3/atom, calculated density 6.44 g cm⁻³. Number 3: calculated volume 49.588 A^3/atom, calculated density 4.62 g cm⁻³.